SiPN2: relaxed, GGA-PBE.

Cell lengths 5.2859, 5.2859, 5.2859 Å; angles 90.00, 90.00, 90.00 degrees
Last column: nearest neighbours and their distance in Å.
Space group Fm-3m (No. 225)
Asymmetric unit:
Si: 0.0000 0.0000 0.0000  8 N 2.29
P: 0.0000 0.0000 0.5000  8 N 2.29
N: 0.2500 0.2500 0.2500  4 P 2.29, 4 Si 2.29

Computed properties:
- raw formation energy (eV per formula unit) = 6.04
- polymorph energy (0 for the lowest one) (meV/atom) = 1805.4
- total DFT energy (no corrections) (eV per atom) = -5.362

SiPN2: relaxed, GGA-PBE.

Cell lengths 2.7854, 2.8930, 7.5398 Å; angles 89.63, 79.38, 63.49 degrees
Last column: nearest neighbours and their distance in Å.
Space group P1 (No. 1)
Asymmetric unit:
Si: 0.0000 0.0000 0.0000  4 N 1.72-1.78
P: 0.2415 0.1237 0.3884  2 N 1.78
N: 0.3807 0.3254 0.9293  3 Si 1.72-1.78
N: 0.8304 0.0943 0.2375  1 Si 1.76, 2 P 1.78

Computed properties:
- raw formation energy (eV per formula unit) = -1.18
- polymorph energy (0 for the lowest one) (meV/atom) = 0.0
- total DFT energy (no corrections) (eV per atom) = -7.167

SiPN: relaxed, GGA-PBE.

Cell lengths 6.3225, 5.1012, 5.5932 Å; angles 90.00, 102.54, 90.00 degrees
Last column: nearest neighbours and their distance in Å.
Space group P2_1/c (No. 14)
Asymmetric unit:
Si: 0.1239 0.0911 0.1893  3 N 1.71-1.77
P: 0.4869 0.0141 0.2962  1 P 2.25, 1 Si 2.28
N: 0.0427 0.1887 0.8824  3 Si 1.71-1.77

Computed properties:
- raw formation energy (eV per formula unit) = -1.59
- polymorph energy (0 for the lowest one) (meV/atom) = 0.0
- total DFT energy (no corrections) (eV per atom) = -6.915

Question: Which of these has the highest total DFT energy (no corrections)?
Answer: number 1